## SrLa7 (PBE)

Data for SrLa7 after structural relaxation. Values from VASP.

Geometry as Quantum ESPRESSO input:
```
&SYSTEM
  ibrav = 0, nat = 8, ntyp = 2
/
ATOMIC_SPECIES
Sr 87.62 Sr.upf
La 138.91 La.upf
ATOMIC_POSITIONS crystal
Sr 0.000 0.000 0.000
La 0.367 0.858 0.407
La 0.633 0.142 0.593
La 0.367 0.407 0.858
La 0.633 0.593 0.142
La 0.000 0.500 0.500
La 0.253 0.247 0.247
La 0.747 0.753 0.753
CELL_PARAMETERS angstrom
3.609 0.002 1.150
1.260 8.962 2.273
-0.969 -0.106 9.280
```

Computed properties:
Fermi-level density of states	13.3	states/eV/f.u.
total energy	-35.75	eV/f.u.
total moment	0.000	μB/f.u.